Compound: Pr2HoMnN4
Source: Alexandria
Functional: PBE-GGA
Structure: optimized geometry

Cell: 6.2379 6.2379 12.1267 Å, 90.00 90.00 148.09°
Element x y z (fractional)
1 Pr 0.1326 0.8674 0.5421
2 Pr 0.1326 0.8674 0.9579
3 Pr 0.8674 0.1326 0.0421
4 Pr 0.8674 0.1326 0.4579
5 Ho 0.3687 0.6313 0.7500
6 Ho 0.6313 0.3687 0.2500
7 Mn 0.3414 0.6586 0.2500
8 Mn 0.6586 0.3414 0.7500
9 N 0.0930 0.9070 0.7500
10 N 0.2265 0.7735 0.1425
11 N 0.2265 0.7735 0.3575
12 N 0.5000 0.5000 0.0000
13 N 0.5000 0.5000 0.5000
14 N 0.7735 0.2265 0.6425
15 N 0.7735 0.2265 0.8575
16 N 0.9070 0.0930 0.2500

## Properties
ΔE_f (raw) ... -0.891 eV/atom
Density of states at the Fermi level ... 0.43 states/eV/atom
Total magnetization ... 0.000 μB per formula unit